Record 1
MnHS2 | GGA-PBE | relaxed

* space group: R3m, No. 160

a b c (Å): 7.6070 7.6070 7.6070
angles (deg): 22.55 22.55 22.55
Element x y z (fractional)
S 0.6238 0.6238 0.6238
S 0.1300 0.1300 0.1300
H 0.9727 0.9727 0.9727
Mn 0.5245 0.5245 0.5245

---

Record 2
MnHS2 | GGA-PBE | relaxed

* space group: P1, No. 1

a b c (Å): 5.9230 6.2434 3.3019
angles (deg): 105.25 89.51 62.87
Site moments in Bohr magnetons follow the coordinates.
Element x y z (fractional)
H 0.2924 0.7306 0.5493  0.00
H 0.5858 0.4121 0.7846  0.00
S 0.7560 0.6908 0.4024  0.03
S 0.8245 0.2043 0.6615  -0.02
S 0.2106 0.7126 0.9239  -0.01
S 0.3373 0.1992 0.1556  -0.04
Mn 0.7741 0.9535 0.0329  1.93
Mn 0.0867 0.4054 0.7604  0.09

---

These records have raw total energy values of -20.61, -43.91 eV/cell, in the order they appear.
These records have ΔE to the lowest computed polymorph values of 412, 76 meV/atom, in the order they appear.